MnPdS3, relaxed, DFT GGA-PBE; SG = No. 221; formation energy (no corrections) = 0.383 eV per atom; calculated density = 4740 kg/m³
1.0
-0.464 -4.103 -1.752
-1.612 -1.488 3.912
-4.160 1.034 -1.320
S Mn Pd
3 1 1
Direct
0.000 0.500 0.000
0.000 0.000 0.500
0.500 0.000 0.000
0.000 0.000 0.000
0.500 0.500 0.500

=====

Sc3VSn, relaxed, DFT GGA-PBE; SG = No. 221; energy of formation from the pure elements = 0.3127 eV per atom; calculated density = 4286 kg/m³
1.0
4.904 0.000 0.000
0.000 4.904 0.000
0.000 0.000 4.904
Sc V Sn
3 1 1
Direct
0.000 0.500 0.000
0.000 0.000 0.500
0.500 0.000 0.000
0.000 0.000 0.000
0.500 0.500 0.500

=====

Ca3CeAs3, relaxed, DFT GGA-PBE; SG = No. 198; energy of formation from the pure elements = -1.2169 eV per atom; calculated density = 4394 kg/m³
1.0
-7.005 -2.673 -5.011
4.561 -7.389 -2.435
-3.384 -4.426 7.091
As Ca Ce
12 12 4
Direct
0.248 0.128 0.500
0.000 0.752 0.628
0.252 0.872 0.000
0.628 0.000 0.752
0.500 0.748 0.372
0.128 0.500 0.248
0.748 0.372 0.500
0.752 0.628 0.000
0.372 0.500 0.748
0.500 0.248 0.128
0.000 0.252 0.872
0.872 0.000 0.252
0.180 0.180 0.180
0.320 0.820 0.680
0.183 0.817 0.317
0.064 0.436 0.564
0.317 0.183 0.817
0.680 0.320 0.820
0.820 0.680 0.320
0.564 0.064 0.436
0.936 0.936 0.936
0.683 0.683 0.683
0.817 0.317 0.183
0.436 0.564 0.064
0.066 0.566 0.934
0.566 0.934 0.066
0.434 0.434 0.434
0.934 0.066 0.566

=====

Re3P, relaxed, DFT GGA-PBE; SG = No. 221; energy of formation from the pure elements = 0.6320 eV per atom; calculated density = 17044 kg/m³
1.0
-0.747 -3.761 0.425
1.345 0.141 3.613
-3.538 0.848 1.284
Re P
3 1
Direct
0.500 0.000 0.500
0.500 0.500 0.000
0.000 0.500 0.500
0.000 0.000 0.000

=====

La2BeCu, relaxed, DFT GGA-PBE; SG = No. 216; energy of formation from the pure elements = 0.2765 eV per atom; calculated density = 6892 kg/m³
1.0
4.924 0.000 0.000
2.462 4.264 0.000
2.462 1.421 4.020
La Cu Be
2 1 1
Direct
0.000 0.000 0.000
0.250 0.250 0.250
0.750 0.750 0.750
0.500 0.500 0.500

=====

ZnIn2Ag6, relaxed, DFT GGA-PBE; SG = No. 136; energy of formation from the pure elements = -0.0213 eV per atom; calculated density = 9365 kg/m³
1.0
4.198 0.000 0.192
0.000 8.916 0.000
-0.409 0.000 8.907
Ag In Zn
12 4 2
Direct
0.000 0.003 0.168
0.500 0.155 0.654
0.000 0.655 0.846
0.500 0.168 0.997
0.500 0.497 0.668
0.000 0.332 0.497
0.500 0.503 0.332
0.500 0.845 0.346
0.000 0.345 0.154
0.000 0.668 0.503
0.500 0.832 0.003
0.000 0.997 0.832
0.500 0.825 0.675
0.000 0.675 0.175
0.000 0.325 0.825
0.500 0.175 0.325
0.500 0.500 0.000
0.000 0.000 0.500

=====

no.,E_tot (eV per atom),volume (Å³/atom)
1,-4.966,18.0
2,-6.111,23.6
3,-4.915,26.2
4,-10.057,14.4
5,-4.143,21.1
6,-2.672,18.6